A plane-wave DFT calculation with PBE-GGA was carried out for a relaxed structure of MgAlN2F.

Output
E_tot	-4.551	eV per atom
excess energy over the best structure of this formula in the dataset	953	meV per atom
DOS at the Fermi energy	0.573	states/eV/atom
magnetization	0.260	μB/atom
uncorrected formation energy	0.220	eV/atom
volume	59	Å³/f.u.

Cell and atoms, written as CIF:
```
data_MgAlN2F
_cell_length_a 4.0227
_cell_length_b 4.0227
_cell_length_c 3.6386
_cell_angle_alpha 90.00
_cell_angle_beta 90.00
_cell_angle_gamma 90.00
_space_group_name_H-M_alt 'P 4/m m m'
_space_group_IT_number 123
_space_group_name_Hall '-P 4 2'
loop_
_atom_site_label
_atom_site_fract_x
_atom_site_fract_y
_atom_site_fract_z
_atom_site_occupancy
Mg1 0.0000 0.0000 0.0000 1
Al1 0.5000 0.5000 0.5000 1
N1 0.0000 0.5000 0.0000 1
F1 0.0000 0.0000 0.5000 1
```


A plane-wave DFT calculation with PBE-GGA was carried out for a relaxed structure of MgAlNF2.

Output
E_tot	-5.385	eV per atom
excess energy over the best structure of this formula in the dataset	0	meV per atom
magnetization	0.000	μB/atom
uncorrected formation energy	-1.903	eV/atom
volume	53	Å³/f.u.

Cell and atoms, written as CIF:
```
data_MgAlNF2
_cell_length_a 3.6555
_cell_length_b 3.6555
_cell_length_c 3.9471
_cell_angle_alpha 90.00
_cell_angle_beta 90.00
_cell_angle_gamma 90.00
_space_group_name_H-M_alt 'P 4/m m m'
_space_group_IT_number 123
_space_group_name_Hall '-P 4 2'
loop_
_atom_site_label
_atom_site_fract_x
_atom_site_fract_y
_atom_site_fract_z
_atom_site_occupancy
Mg1 0.0000 0.0000 0.0000 1
Al1 0.5000 0.5000 0.5000 1
N1 0.5000 0.5000 0.0000 1
F1 0.0000 0.5000 0.5000 1
```


A plane-wave DFT calculation with PBE-GGA was carried out for a relaxed structure of MgAlNF6.

Output
E_tot	-5.186	eV per atom
DOS at the Fermi energy	0.000	states/eV/atom
magnetization	0.222	μB/atom
uncorrected formation energy	-2.420	eV/atom
volume	136	Å³/f.u.

Cell and atoms, written as CIF:
```
data_MgAlNF6
_cell_length_a 6.9986
_cell_length_b 8.6961
_cell_length_c 8.9585
_cell_angle_alpha 90.00
_cell_angle_beta 90.00
_cell_angle_gamma 90.00
_space_group_name_H-M_alt 'I m m a'
_space_group_IT_number 74
_space_group_name_Hall '-I 2b 2'
loop_
_atom_site_label
_atom_site_fract_x
_atom_site_fract_y
_atom_site_fract_z
_atom_site_occupancy
Mg1 0.0000 0.0000 0.0000 1
Al1 0.2500 0.2500 0.2500 1
N1 0.0000 0.2500 0.6671 1
F1 0.0000 0.2500 0.3141 1
F2 0.0000 0.2500 0.8207 1
F3 0.1936 0.1022 0.1132 1
```


A plane-wave DFT calculation with PBE-GGA was carried out for a relaxed structure of MgAlNF2.

Output
E_tot	-4.815	eV per atom
excess energy over the best structure of this formula in the dataset	569	meV per atom
DOS at the Fermi energy	0.463	states/eV/atom
magnetization	0.025	μB/atom
uncorrected formation energy	-1.334	eV/atom
volume	60	Å³/f.u.

Cell and atoms, written as CIF:
```
data_MgAlNF2
_cell_length_a 3.5760
_cell_length_b 3.5760
_cell_length_c 4.7290
_cell_angle_alpha 90.00
_cell_angle_beta 90.00
_cell_angle_gamma 90.00
_space_group_name_H-M_alt 'P 4/m m m'
_space_group_IT_number 123
_space_group_name_Hall '-P 4 2'
loop_
_atom_site_label
_atom_site_fract_x
_atom_site_fract_y
_atom_site_fract_z
_atom_site_occupancy
Mg1 0.0000 0.0000 0.0000 1
Al1 0.5000 0.5000 0.5000 1
N1 0.0000 0.0000 0.5000 1
F1 0.0000 0.5000 0.0000 1
```


A plane-wave DFT calculation with PBE-GGA was carried out for a relaxed structure of MgAlN2F.

Output
E_tot	-5.504	eV per atom
excess energy over the best structure of this formula in the dataset	0	meV per atom
DOS at the Fermi energy	0.363	states/eV/atom
magnetization	0.000	μB/atom
uncorrected formation energy	-0.732	eV/atom
volume	53	Å³/f.u.

Cell and atoms, written as CIF:
```
data_MgAlN2F
_cell_length_a 3.7468
_cell_length_b 3.7468
_cell_length_c 3.8048
_cell_angle_alpha 90.00
_cell_angle_beta 90.00
_cell_angle_gamma 90.00
_space_group_name_H-M_alt 'P 4/m m m'
_space_group_IT_number 123
_space_group_name_Hall '-P 4 2'
loop_
_atom_site_label
_atom_site_fract_x
_atom_site_fract_y
_atom_site_fract_z
_atom_site_occupancy
Mg1 0.0000 0.0000 0.0000 1
Al1 0.5000 0.5000 0.5000 1
N1 0.0000 0.5000 0.5000 1
F1 0.5000 0.5000 0.0000 1
```


A plane-wave DFT calculation with PBE-GGA was carried out for a relaxed structure of NaMg2AlF8.

Output
E_tot	-5.343	eV per atom
DOS at the Fermi energy	0.000	states/eV/atom
magnetization	0.008	μB/atom
uncorrected formation energy	-3.408	eV/atom
volume	138	Å³/f.u.

Cell and atoms, written as CIF:
```
data_NaMg2AlF8
_cell_length_a 6.5307
_cell_length_b 6.6890
_cell_length_c 6.3346
_cell_angle_alpha 90.00
_cell_angle_beta 90.00
_cell_angle_gamma 90.00
_space_group_name_H-M_alt 'C m m m'
_space_group_IT_number 65
_space_group_name_Hall '-C 2 2'
loop_
_atom_site_label
_atom_site_fract_x
_atom_site_fract_y
_atom_site_fract_z
_atom_site_occupancy
Na1 0.0000 0.0000 0.0000 1
Mg1 0.0000 0.5000 0.2489 1
Al1 0.0000 0.0000 0.5000 1
F1 0.0000 0.2857 0.5000 1
F2 0.0000 0.3199 0.0000 1
F3 0.1954 0.0000 0.2963 1
```


A plane-wave DFT calculation with PBE-GGA was carried out for a relaxed structure of NaMgAlF6.

Output
E_tot	-5.329	eV per atom
DOS at the Fermi energy	0.000	states/eV/atom
magnetization	0.000	μB/atom
uncorrected formation energy	-3.342	eV/atom
volume	126	Å³/f.u.

Cell and atoms, written as CIF:
```
data_NaMgAlF6
_cell_length_a 7.0597
_cell_length_b 7.0822
_cell_length_c 10.0750
_cell_angle_alpha 90.00
_cell_angle_beta 90.00
_cell_angle_gamma 90.00
_space_group_name_H-M_alt 'I m m a'
_space_group_IT_number 74
_space_group_name_Hall '-I 2b 2'
loop_
_atom_site_label
_atom_site_fract_x
_atom_site_fract_y
_atom_site_fract_z
_atom_site_occupancy
Na1 0.0000 0.2500 0.0648 1
Mg1 0.2500 0.2500 0.7500 1
Al1 0.0000 0.0000 0.5000 1
F1 0.0000 0.2500 0.4492 1
F2 0.0000 0.2500 0.8398 1
F3 0.1839 0.0444 0.6211 1
```


A plane-wave DFT calculation with PBE-GGA was carried out for a relaxed structure of Na2MgAlF6.

Output
E_tot	-4.834	eV per atom
DOS at the Fermi energy	0.144	states/eV/atom
magnetization	0.000	μB/atom
uncorrected formation energy	-2.914	eV/atom
volume	125	Å³/f.u.

Cell and atoms, written as CIF:
```
data_Na2MgAlF6
_cell_length_a 5.6063
_cell_length_b 7.9471
_cell_length_c 5.6202
_cell_angle_alpha 90.00
_cell_angle_beta 90.00
_cell_angle_gamma 90.00
_space_group_name_H-M_alt 'P m m n'
_space_group_IT_number 59
loop_
_space_group_symop_operation_xyz
'x,y,z'
'-x,-y,-z'
'-x+1/2,-y+1/2,z'
'x+1/2,y+1/2,-z'
'x+1/2,-y,-z'
'-x+1/2,y,z'
'-x,y+1/2,-z'
'x,-y+1/2,z'
loop_
_atom_site_label
_atom_site_fract_x
_atom_site_fract_y
_atom_site_fract_z
_atom_site_occupancy
Na1 0.2500 0.0013 0.2406 1
Mg1 0.2500 0.2500 0.7435 1
Al1 0.2500 0.7500 0.7539 1
F1 0.0122 0.7500 0.5201 1
F2 0.0134 0.7500 0.9921 1
F3 0.2500 0.5135 0.7625 1
```


> What is the formula in the fifth record?

MgAlN2F


> E_tot of number 6 (NaMg2AlF8)?

-5.343 eV per atom


> The highest magnetization belongs to which entry?

number 1


> Which of these has the lowest uncorrected formation energy?

NaMg2AlF8